No. 1
CSeIBr2 | PBE | optimized geometry

```
CSeIBr2
1.0
5.729 0.000 0.000
0.000 5.729 0.000
0.000 0.000 5.475
Se C I Br
1 1 1 2
Direct
0.000 0.000 0.500
0.500 0.500 0.500
0.000 0.000 0.000
0.500 0.000 0.000
0.000 0.500 0.000
```

Calculated values
- distance to the lowest polymorph of the same formula (meV per atom) = 639
- space-group type = P4/mmm
- mass density (g cm⁻³) = 3.49
- raw formation energy (kJ/mol of formula units) = 886
- V (Å³/f.u.) = 179.7
- uncorrected energy (eV per atom) = -1.68

No. 2
CSeIBr2 | PBE | optimized geometry

```
CSeIBr2
1.0
-5.998 -1.414 -0.861
1.075 -3.008 -2.548
0.248 -3.966 4.788
Se Br C I
1 2 1 1
Direct
0.500 0.500 0.500
0.000 0.000 0.500
0.500 0.000 0.000
0.000 0.500 0.000
0.000 0.000 0.000
```

Calculated values
- distance to the lowest polymorph of the same formula (meV per atom) = 407
- space-group type = P4/mmm
- mass density (g cm⁻³) = 3.97
- raw formation energy (kJ/mol of formula units) = 775
- V (Å³/f.u.) = 158.2
- uncorrected energy (eV per atom) = -1.91

No. 3
CSeIBr2 | PBE | optimized geometry

```
CSeIBr2
1.0
-4.140 2.003 1.398
-2.380 -2.687 -3.197
-0.542 -3.391 3.253
Br I Se C
2 1 1 1
Direct
0.500 0.000 0.000
0.000 0.500 0.000
0.500 0.500 0.500
0.000 0.000 0.500
0.000 0.000 0.000
```

Calculated values
- distance to the lowest polymorph of the same formula (meV per atom) = 0
- space-group type = P4/mmm
- mass density (g cm⁻³) = 5.74
- raw formation energy (kJ/mol of formula units) = 578
- V (Å³/f.u.) = 109.3
- uncorrected energy (eV per atom) = -2.32

> Look up the raw formation energy of the third one.

578 kJ/mol of formula units